1.
Below is an optimized crystal structure of Y2Ho2Al3, with properties calculated at the PBE level.

Values from the calculation:
- total DFT energy (no corrections) (eV per atom) = -4.96

Cell lengths 11.997, 4.960, 6.619 Å; angles 90.00, 113.31, 90.00 degrees
Space group C2/m (No. 12)
Inequivalent atoms, fractional coordinates:
Y (0.043, 0.000, 0.280) [4 per cell]
Ho (0.181, 0.500, 0.796) [4 per cell]
Al (0.000, 0.500, 0.000) [2 per cell]
Al (0.217, 0.500, 0.334) [4 per cell]

2.
Below is an optimized crystal structure of YHoAl2, with properties calculated at the PBE level.

Values from the calculation:
- total DFT energy (no corrections) (eV per atom) = -5.04

Cell lengths 7.153, 10.191, 5.091 Å; angles 90.00, 90.00, 90.00 degrees
Space group Cmcm (No. 63)
Inequivalent atoms, fractional coordinates:
Y (0.000, 0.128, 0.250) [4 per cell]
Ho (0.000, 0.372, 0.750) [4 per cell]
Al (0.249, 0.379, 0.250) [8 per cell]